# 1
{
  "formula": "LaPbI5",
  "functional": "PBE",
  "state": "relaxed",
  "cell": [[4.655, 0.000, 0.000], [0.000, 9.229, -0.520], [0.000, -0.100, 15.195]],
  "species": ["I", "I", "La", "I", "I", "I", "La", "I", "I", "Pb", "I", "I", "I", "Pb"],
  "fractional_positions": [[0.250, 0.378, 0.709], [0.750, 0.622, 0.291], [0.750, 0.587, 0.652], [0.250, 0.354, 0.133], [0.750, 0.317, 0.486], [0.250, 0.072, 0.315], [0.250, 0.413, 0.348], [0.250, 0.683, 0.514], [0.750, 0.646, 0.867], [0.750, 0.094, 0.134], [0.250, 0.856, 0.073], [0.750, 0.928, 0.685], [0.750, 0.144, 0.927], [0.250, 0.906, 0.866]],
  "crystal_system": "monoclinic",
  "dos_at_fermi_per_ev_cell": 0.0,
  "dft_energy_ev_per_atom": -3.459,
  "e_form_raw_ev_per_atom": -1.118
}

---

# 2
{
  "formula": "Ta2TlTe",
  "functional": "PBE",
  "state": "relaxed",
  "cell": [[-1.565, -1.536, -3.640], [3.879, -1.340, -1.103], [-0.637, -10.368, 2.167]],
  "species": ["Tl", "Te", "Te", "Ta", "Ta", "Ta", "Ta", "Tl"],
  "fractional_positions": [[0.000, 0.000, 0.000], [0.500, 0.500, 0.000], [0.250, 0.750, 0.500], [0.113, 0.625, 0.250], [0.637, 0.125, 0.250], [0.375, 0.363, 0.750], [0.875, 0.887, 0.750], [0.750, 0.250, 0.500]],
  "crystal_system": "tetragonal",
  "dos_at_fermi_per_ev_cell": 6.6,
  "dft_energy_ev_per_atom": -6.576,
  "relative_energy_ev_per_atom": 0.558,
  "e_form_raw_ev_per_atom": 0.727
}